BaSbH GGA-PBE optimized geometry; space group = No. 139; relative energy among the computed polymorphs = 149.9 meV per atom
1.0
-2.152 2.152 9.164
2.152 -2.152 9.164
2.152 2.152 -9.164
Ba Sb H
2 2 2
Direct
0.154 0.154 0.000 Ba
0.846 0.846 0.000 Ba
0.000 0.500 0.500 Sb
0.500 0.000 0.500 Sb
0.304 0.304 0.000 H
0.696 0.696 0.000 H


Tl3SbPd12 GGA-PBE optimized geometry; space group = No. 123; total energy = -4.85 eV per atom
1.0
4.060 0.000 0.000
0.000 4.060 0.000
0.000 0.000 16.437
Tl Sb Pd
3 1 12
Direct
0.000 0.000 0.000 Tl
0.000 0.000 0.249 Tl
0.000 0.000 0.751 Tl
0.000 0.000 0.500 Sb
0.000 0.500 0.126 Pd
0.000 0.500 0.380 Pd
0.000 0.500 0.620 Pd
0.000 0.500 0.874 Pd
0.500 0.000 0.126 Pd
0.500 0.000 0.380 Pd
0.500 0.000 0.620 Pd
0.500 0.000 0.874 Pd
0.500 0.500 0.000 Pd
0.500 0.500 0.254 Pd
0.500 0.500 0.500 Pd
0.500 0.500 0.746 Pd


Hg2Pd4Au5 GGA-PBE optimized geometry; space group = No. 12; formation energy = -0.05 eV per atom; relative energy among the computed polymorphs = 0.0 meV per atom
1.0
5.150 -2.443 0.000
5.150 2.443 0.000
-0.313 0.000 7.748
Hg Pd Au
2 4 5
Direct
0.095 0.095 0.356 Hg
0.905 0.905 0.644 Hg
0.180 0.180 0.728 Pd
0.456 0.456 0.817 Pd
0.544 0.544 0.183 Pd
0.820 0.820 0.272 Pd
0.000 0.000 0.000 Au
0.279 0.279 0.084 Au
0.365 0.365 0.453 Au
0.635 0.635 0.547 Au
0.721 0.721 0.916 Au


Mg2Zn2Se3 GGA-PBE optimized geometry; space group = No. 65; relative energy among the computed polymorphs = 224.5 meV per atom
1.0
1.828 -13.147 0.000
1.828 13.147 0.000
0.000 0.000 3.646
Mg Zn Se
2 2 3
Direct
0.096 0.904 0.000 Mg
0.904 0.096 0.000 Mg
0.282 0.718 0.500 Zn
0.718 0.282 0.500 Zn
0.000 0.000 0.000 Se
0.374 0.626 0.500 Se
0.626 0.374 0.500 Se


ZrTcW GGA-PBE optimized geometry; space group = No. 74; formation energy = -0.24 eV per atom; relative energy among the computed polymorphs = 0.0 meV per atom
1.0
-2.681 2.734 3.686
2.681 -2.734 3.686
2.681 2.734 -3.686
Zr Tc W
2 2 2
Direct
0.379 0.129 0.250 Zr
0.621 0.871 0.750 Zr
0.000 0.500 0.500 Tc
0.500 0.500 0.000 Tc
0.000 0.000 0.500 W
0.000 0.500 0.000 W


Ta2TlSnTe GGA-PBE optimized geometry; space group = No. 123; total energy = -4.93 eV per atom
1.0
5.233 0.000 0.000
0.000 5.233 0.000
0.000 0.000 5.681
Ta Tl Sn Te
2 1 1 1
Direct
0.000 0.500 0.000 Ta
0.500 0.000 0.000 Ta
0.000 0.000 0.500 Tl
0.500 0.500 0.000 Sn
0.500 0.500 0.500 Te


Ni2AgMoW GGA-PBE optimized geometry; space group = No. 123; formation energy = 2.15 eV per atom
1.0
4.391 0.000 0.000
0.000 4.391 0.000
0.000 0.000 4.832
Ni Ag Mo W
2 1 1 1
Direct
0.000 0.500 0.000 Ni
0.500 0.000 0.000 Ni
0.000 0.000 0.000 Ag
0.500 0.500 0.500 Mo
0.000 0.000 0.500 W


Ca2TeIrN GGA-PBE optimized geometry; space group = No. 123; relative energy among the computed polymorphs = 0.0 meV per atom
1.0
5.339 0.000 0.000
0.000 5.339 0.000
0.000 0.000 3.789
Ca Te Ir N
2 1 1 1
Direct
0.000 0.500 0.000 Ca
0.500 0.000 0.000 Ca
0.000 0.000 0.500 Te
0.500 0.500 0.500 Ir
0.500 0.500 0.000 N


no.,spin magnetization (μB/cell),V (Å³/atom),D(E_F) (states/eV/atom)
1,0.00,28.30,0.270
2,0.00,16.94,0.880
3,0.00,17.72,0.363
4,0.00,25.04,0.195
5,0.00,18.01,0.729
6,1.27,31.11,1.241
7,0.00,18.63,1.787
8,0.00,21.60,0.362